Record 1
Computed, not measured: an optimized crystal structure of RbTlV2O8 at the PBE with a Hubbard U level of DFT.

Cell and atoms, written as extended XYZ:
```
12
Lattice="5.708 0.000 0.000 -2.854 4.943 0.000 0.000 0.000 8.156" Properties=species:S:1:pos:R:3 pbc="T T T"
Rb 0.000 0.000 0.000
Tl 0.000 0.000 4.078
V 0.000 3.295 5.940
V 2.854 1.648 2.216
O -0.485 1.691 5.461
O -1.147 4.518 5.461
O 0.000 3.295 7.667
O 1.222 1.266 2.696
O 1.632 3.677 5.461
O 2.854 1.648 0.490
O 4.000 0.425 2.696
O 3.339 3.252 2.696
```

Summary:
M_tot, μB/cell: 2.04
Uncorrected energy, eV/cell: -73.30
Crystal system: trigonal



Record 2
Computed, not measured: an optimized crystal structure of RbTl3V4O12 at the PBE with a Hubbard U level of DFT.

Cell and atoms, written as extended XYZ:
```
20
Lattice="6.840 3.949 2.256 -6.840 3.949 2.256 0.000 -7.899 2.256" Properties=species:S:1:pos:R:3 pbc="T T T"
Rb 0.000 0.000 0.000
Tl -3.882 -1.174 2.256
Tl 2.958 -2.775 2.256
Tl 0.924 3.949 2.256
V -2.820 -4.884 3.385
V 0.000 0.000 3.385
V -2.820 4.884 3.385
V 5.639 0.000 3.385
O -6.366 0.000 3.385
O -3.473 -3.246 3.539
O -1.074 -4.631 3.230
O -3.473 3.246 3.230
O -1.725 0.000 3.385
O 3.183 -5.513 3.385
O 0.863 -1.494 3.385
O 0.863 1.494 3.385
O -1.074 4.631 3.539
O 4.547 -1.385 3.539
O 4.547 1.385 3.230
O 3.183 5.513 3.385
```

Summary:
M_tot, μB/cell: 0.83
Uncorrected energy, eV/cell: -122.85
Crystal system: trigonal



Record 3
Computed, not measured: an optimized crystal structure of RbTlVO4 at the PBE with a Hubbard U level of DFT.

Cell and atoms, written as extended XYZ:
```
14
Lattice="5.322 0.000 0.000 0.000 6.355 0.000 -2.149 0.000 7.759" Properties=species:S:1:pos:R:3 pbc="T T T"
Rb 0.682 1.589 0.821
Rb 2.491 4.766 6.937
Tl -0.177 4.766 4.091
Tl 3.350 1.589 3.668
V 0.527 1.589 5.455
V 2.646 4.766 2.304
O -0.469 0.147 5.724
O -0.469 3.031 5.724
O 1.303 4.766 1.288
O 1.043 1.589 3.738
O 2.130 4.766 4.021
O 1.870 1.589 6.471
O 3.642 3.324 2.035
O 3.642 6.208 2.035
```

Summary:
M_tot, μB/cell: 0.00
Uncorrected energy, eV/cell: -82.33
Crystal system: monoclinic



Record 4
Computed, not measured: an optimized crystal structure of Rb2TlVO4 at the PBE with a Hubbard U level of DFT.

Cell and atoms, written as extended XYZ:
```
16
Lattice="6.132 0.000 0.000 0.000 8.667 0.000 0.000 0.000 6.476" Properties=species:S:1:pos:R:3 pbc="T T T"
Rb 1.533 0.093 1.603
Rb 1.533 4.240 1.603
Rb 4.599 4.426 4.872
Rb 4.599 8.573 4.872
Tl 1.533 2.167 4.795
Tl 4.599 6.500 1.680
V 1.533 6.500 5.317
V 4.599 2.167 1.158
O 0.099 6.500 6.349
O 1.533 5.058 4.351
O 1.533 7.942 4.351
O 2.967 6.500 6.349
O 3.164 2.167 0.126
O 4.599 0.725 2.125
O 4.599 3.608 2.125
O 6.033 2.167 0.126
```

Summary:
M_tot, μB/cell: 0.00
Uncorrected energy, eV/cell: -91.01
Crystal system: orthorhombic



Record 5
Computed, not measured: an optimized crystal structure of Rb2TlW2O7 at the PBE with a Hubbard U level of DFT.

Cell and atoms, written as extended XYZ:
```
12
Lattice="-2.022 2.022 11.316 2.022 -2.022 11.316 2.022 2.022 -11.316" Properties=species:S:1:pos:R:3 pbc="T T T"
Rb 0.000 0.000 4.299
Rb 0.000 0.000 18.333
Tl 0.000 0.000 0.000
W 0.000 0.000 9.241
W 0.000 0.000 13.391
O 2.022 0.000 2.042
O 0.000 0.000 7.381
O 2.022 0.000 9.274
O 0.000 0.000 11.316
O 0.000 2.022 2.042
O 0.000 0.000 15.251
O 0.000 2.022 9.274
```

Summary:
M_tot, μB/cell: 0.00
Uncorrected energy, eV/cell: -74.69
Crystal system: tetragonal



Record 6
Computed, not measured: an optimized crystal structure of RbTlWO4 at the PBE with a Hubbard U level of DFT.

Cell and atoms, written as extended XYZ:
```
14
Lattice="7.648 0.000 0.000 0.000 6.492 0.000 -3.561 0.000 7.545" Properties=species:S:1:pos:R:3 pbc="T T T"
Rb -0.568 1.623 2.599
Rb 4.655 4.869 4.946
Tl 3.213 4.869 1.138
Tl 0.874 1.623 6.406
W 0.756 4.869 4.699
W 3.331 1.623 2.846
O -0.315 3.394 4.893
O -0.315 6.344 4.893
O 2.079 1.623 1.548
O 1.523 4.869 3.053
O 2.564 1.623 4.492
O 2.008 4.869 5.996
O 4.402 0.148 2.651
O 4.402 3.098 2.651
```

Summary:
M_tot, μB/cell: 0.00
Uncorrected energy, eV/cell: -85.34
Crystal system: monoclinic



Record 7
Computed, not measured: an optimized crystal structure of Rb2TlWO6 at the PBE with a Hubbard U level of DFT.

Cell and atoms, written as extended XYZ:
```
10
Lattice="0.000 4.259 4.259 4.259 0.000 4.259 4.259 4.259 0.000" Properties=species:S:1:pos:R:3 pbc="T T T"
Rb 2.130 2.130 2.130
Rb 6.389 6.389 6.389
Tl 0.000 0.000 0.000
W 4.259 4.259 4.259
O 4.259 4.259 2.307
O 4.259 2.307 4.259
O 6.211 4.259 4.259
O 2.307 4.259 4.259
O 4.259 6.211 4.259
O 4.259 4.259 6.211
```

Summary:
M_tot, μB/cell: 1.06
Uncorrected energy, eV/cell: -55.54
Crystal system: cubic



Record 8
Computed, not measured: an optimized crystal structure of Rb3TlW2O8 at the PBE with a Hubbard U level of DFT.

Cell and atoms, written as extended XYZ:
```
14
Lattice="6.560 0.000 0.000 -3.280 5.681 0.000 0.000 0.000 8.405" Properties=species:S:1:pos:R:3 pbc="T T T"
Rb 0.000 0.000 0.000
Rb 0.000 3.788 5.623
Rb 3.280 1.894 2.782
Tl 0.000 0.000 4.202
W 0.000 3.788 1.697
W 3.280 1.894 6.708
O 0.000 2.080 2.342
O -1.479 4.641 2.342
O 0.000 3.788 8.298
O 1.801 1.040 6.063
O 1.479 4.641 2.342
O 3.280 1.894 0.107
O 4.759 1.040 6.063
O 3.280 3.601 6.063
```

Summary:
M_tot, μB/cell: 0.00
Uncorrected energy, eV/cell: -85.83
Crystal system: trigonal